No. 1
! BaSn3H (PBE-GGA, optimized geometry); values from VASP
! volume: 52.3 Å³/atom
! relative energy among the computed polymorphs: 1.566 eV per atom
&SYSTEM
  ibrav = 0, nat = 5, ntyp = 3
/
ATOMIC_SPECIES
H 1.01 H.upf
Ba 137.33 Ba.upf
Sn 118.71 Sn.upf
CELL_PARAMETERS angstrom
6.395 0.000 0.000
0.000 6.395 0.000
0.000 0.000 6.395
ATOMIC_POSITIONS crystal
H 0.500 0.500 0.500
Ba 0.000 0.000 0.000
Sn 0.000 0.500 0.000
Sn 0.000 0.000 0.500
Sn 0.500 0.000 0.000


No. 2
! Ba2SrSnH (PBE-GGA, optimized geometry); values from VASP
! volume: 33.0 Å³/atom
! E_tot: -14.983 eV for the cell shown
&SYSTEM
  ibrav = 0, nat = 5, ntyp = 4
/
ATOMIC_SPECIES
Sr 87.62 Sr.upf
Ba 137.33 Ba.upf
H 1.01 H.upf
Sn 118.71 Sn.upf
CELL_PARAMETERS angstrom
-3.854 -2.331 3.100
-0.065 -4.330 -3.337
3.919 -2.415 3.057
ATOMIC_POSITIONS crystal
Sr 0.000 0.000 0.500
Ba 0.000 0.500 0.000
Ba 0.500 0.000 0.000
H 0.000 0.000 0.000
Sn 0.500 0.500 0.500


No. 3
! BaSn2TeH (PBE-GGA, optimized geometry); values from VASP
! volume: 27.2 Å³/atom
! E_tot: -17.667 eV for the cell shown
&SYSTEM
  ibrav = 0, nat = 5, ntyp = 4
/
ATOMIC_SPECIES
H 1.01 H.upf
Te 127.60 Te.upf
Ba 137.33 Ba.upf
Sn 118.71 Sn.upf
CELL_PARAMETERS angstrom
-0.315 4.640 0.998
-1.814 -1.322 5.571
4.523 -0.009 1.471
ATOMIC_POSITIONS crystal
H 0.000 0.000 0.000
Te 0.000 0.500 0.000
Ba 0.500 0.500 0.500
Sn 0.000 0.000 0.500
Sn 0.500 0.000 0.000


No. 4
! BaTlSn2H (PBE-GGA, optimized geometry); values from VASP
! volume: 26.1 Å³/atom
! relative energy among the computed polymorphs: 0.041 eV per atom
&SYSTEM
  ibrav = 0, nat = 5, ntyp = 4
/
ATOMIC_SPECIES
H 1.01 H.upf
Tl 204.38 Tl.upf
Ba 137.33 Ba.upf
Sn 118.71 Sn.upf
CELL_PARAMETERS angstrom
4.938 0.000 0.000
0.000 5.349 0.000
0.000 0.000 4.938
ATOMIC_POSITIONS crystal
H 0.000 0.000 0.000
Tl 0.000 0.500 0.000
Ba 0.500 0.500 0.500
Sn 0.000 0.000 0.500
Sn 0.500 0.000 0.000


No. 5
! BaTlSn2H (PBE-GGA, optimized geometry); values from VASP
! volume: 26.4 Å³/atom
! relative energy among the computed polymorphs: 0.000 eV per atom
&SYSTEM
  ibrav = 0, nat = 5, ntyp = 4
/
ATOMIC_SPECIES
H 1.01 H.upf
Tl 204.38 Tl.upf
Ba 137.33 Ba.upf
Sn 118.71 Sn.upf
CELL_PARAMETERS angstrom
-1.821 -4.574 -0.884
2.591 -0.206 -4.274
4.081 -2.123 2.576
ATOMIC_POSITIONS crystal
H 0.000 0.000 0.000
Tl 0.500 0.500 0.500
Ba 0.000 0.000 0.500
Sn 0.000 0.500 0.000
Sn 0.500 0.000 0.000


No. 6
! BaZnSnH2 (PBE-GGA, optimized geometry); values from VASP
! volume: 18.6 Å³/atom
! E_tot: -29.865 eV for the cell shown
&SYSTEM
  ibrav = 0, nat = 10, ntyp = 4
/
ATOMIC_SPECIES
Ba 137.33 Ba.upf
Zn 65.41 Zn.upf
Sn 118.71 Sn.upf
H 1.01 H.upf
CELL_PARAMETERS angstrom
4.644 0.000 0.000
-2.322 6.212 0.000
0.000 0.000 6.458
ATOMIC_POSITIONS crystal
Ba 0.711 0.422 0.750
Ba 0.289 0.578 0.250
Zn 0.000 0.000 0.000
Zn 0.000 0.000 0.500
Sn 0.435 0.870 0.750
Sn 0.565 0.130 0.250
H 0.141 0.281 0.948
H 0.859 0.719 0.052
H 0.141 0.281 0.552
H 0.859 0.719 0.448


No. 7
! Ba2ZnSnH (PBE-GGA, optimized geometry); values from VASP
! volume: 28.6 Å³/atom
! E_tot: -14.202 eV for the cell shown
&SYSTEM
  ibrav = 0, nat = 5, ntyp = 4
/
ATOMIC_SPECIES
H 1.01 H.upf
Zn 65.41 Zn.upf
Ba 137.33 Ba.upf
Sn 118.71 Sn.upf
CELL_PARAMETERS angstrom
5.551 0.000 0.000
0.000 5.551 0.000
0.000 0.000 4.648
ATOMIC_POSITIONS crystal
H 0.000 0.000 0.000
Zn 0.000 0.000 0.500
Ba 0.000 0.500 0.000
Ba 0.500 0.000 0.000
Sn 0.500 0.500 0.500


No. 8
! Ba2SrH3 (PBE-GGA, optimized geometry); values from VASP
! volume: 30.4 Å³/atom
! E_tot: -35.324 eV for the cell shown
&SYSTEM
  ibrav = 0, nat = 12, ntyp = 3
/
ATOMIC_SPECIES
Ba 137.33 Ba.upf
Sr 87.62 Sr.upf
H 1.01 H.upf
CELL_PARAMETERS angstrom
4.344 0.000 0.825
1.943 7.289 1.617
0.067 -0.319 11.492
ATOMIC_POSITIONS crystal
Ba 0.485 0.288 0.742
Ba 0.515 0.712 0.258
Ba 0.169 0.241 0.421
Ba 0.831 0.759 0.579
Sr 0.169 0.751 0.912
Sr 0.831 0.249 0.088
H 0.661 0.130 0.549
H 0.994 0.388 0.624
H 0.319 0.647 0.715
H 0.681 0.353 0.285
H 0.006 0.612 0.376
H 0.339 0.870 0.451


No. 9
! Ba12Sr3H5 (PBE-GGA, optimized geometry); values from VASP
! volume: 45.3 Å³/atom
! E_tot: -184.239 eV for the cell shown
&SYSTEM
  ibrav = 0, nat = 80, ntyp = 3
/
ATOMIC_SPECIES
Sr 87.62 Sr.upf
H 1.01 H.upf
Ba 137.33 Ba.upf
CELL_PARAMETERS angstrom
-8.194 -8.981 11.536
11.351 -9.703 -7.607
7.736 12.887 7.412
ATOMIC_POSITIONS crystal
Sr 0.750 0.375 0.125
Sr 0.875 0.750 0.125
Sr 0.375 0.750 0.625
Sr 0.250 0.125 0.375
Sr 0.875 0.125 0.250
Sr 0.375 0.625 0.250
Sr 0.625 0.375 0.750
Sr 0.125 0.875 0.750
Sr 0.750 0.875 0.625
Sr 0.625 0.250 0.375
Sr 0.125 0.250 0.875
Sr 0.250 0.625 0.875
H 0.125 0.375 0.250
H 0.000 0.500 0.000
H 0.000 0.000 0.000
H 0.375 0.250 0.125
H 0.500 0.000 0.500
H 0.500 0.500 0.000
H 0.125 0.750 0.375
H 0.750 0.125 0.875
H 0.750 0.625 0.375
H 0.375 0.125 0.750
H 0.625 0.875 0.250
H 0.500 0.500 0.500
H 0.500 0.000 0.000
H 0.000 0.000 0.500
H 0.250 0.375 0.625
H 0.250 0.875 0.125
H 0.000 0.500 0.500
H 0.875 0.250 0.625
H 0.625 0.750 0.875
H 0.875 0.625 0.750
Ba 0.692 0.100 0.997
Ba 0.305 0.497 0.397
Ba 0.003 0.400 0.308
Ba 0.497 0.192 0.100
Ba 0.592 0.692 0.695
Ba 0.003 0.603 0.195
Ba 0.305 0.808 0.408
Ba 0.103 0.908 0.100
Ba 0.603 0.003 0.695
Ba 0.692 0.592 0.195
Ba 0.808 0.503 0.400
Ba 0.805 0.897 0.997
Ba 0.100 0.692 0.497
Ba 0.400 0.397 0.092
Ba 0.092 0.897 0.400
Ba 0.408 0.100 0.603
Ba 0.092 0.195 0.192
Ba 0.503 0.695 0.103
Ba 0.805 0.908 0.308
Ba 0.100 0.408 0.103
Ba 0.400 0.003 0.808
Ba 0.603 0.600 0.408
Ba 0.897 0.805 0.497
Ba 0.808 0.305 0.908
Ba 0.397 0.400 0.592
Ba 0.103 0.195 0.503
Ba 0.192 0.695 0.092
Ba 0.195 0.092 0.692
Ba 0.600 0.997 0.192
Ba 0.900 0.592 0.897
Ba 0.497 0.305 0.897
Ba 0.592 0.900 0.397
Ba 0.908 0.805 0.808
Ba 0.908 0.103 0.600
Ba 0.900 0.308 0.503
Ba 0.195 0.103 0.003
Ba 0.600 0.603 0.908
Ba 0.397 0.997 0.305
Ba 0.308 0.408 0.805
Ba 0.192 0.497 0.600
Ba 0.897 0.092 0.900
Ba 0.695 0.192 0.592
Ba 0.503 0.808 0.900
Ba 0.997 0.397 0.805
Ba 0.408 0.308 0.305
Ba 0.997 0.600 0.692
Ba 0.695 0.503 0.603
Ba 0.308 0.900 0.003


No. 10
! Ba2SrH (PBE-GGA, optimized geometry); values from VASP
! volume: 47.1 Å³/atom
! relative energy among the computed polymorphs: 0.000 eV per atom
&SYSTEM
  ibrav = 0, nat = 8, ntyp = 3
/
ATOMIC_SPECIES
Sr 87.62 Sr.upf
Ba 137.33 Ba.upf
H 1.01 H.upf
CELL_PARAMETERS angstrom
8.426 0.000 0.000
0.000 8.426 0.000
4.213 4.213 5.307
ATOMIC_POSITIONS crystal
Sr 0.000 0.000 0.000
Sr 0.750 0.250 0.500
Ba 0.460 0.125 0.250
Ba 0.290 0.625 0.250
Ba 0.375 0.540 0.750
Ba 0.875 0.710 0.750
H 0.500 0.500 0.000
H 0.250 0.750 0.500


No. 11
! Ba2SrH2 (PBE-GGA, optimized geometry); values from VASP
! volume: 35.7 Å³/atom
! relative energy among the computed polymorphs: 0.248 eV per atom
&SYSTEM
  ibrav = 0, nat = 10, ntyp = 3
/
ATOMIC_SPECIES
Sr 87.62 Sr.upf
Ba 137.33 Ba.upf
H 1.01 H.upf
CELL_PARAMETERS angstrom
-7.336 -1.314 -4.074
-2.177 -5.816 5.795
-2.148 3.524 2.730
ATOMIC_POSITIONS crystal
Sr 0.000 0.000 0.000
Sr 0.500 0.500 0.000
Ba 0.174 0.674 0.500
Ba 0.674 0.826 0.500
Ba 0.826 0.326 0.500
Ba 0.326 0.174 0.500
H 0.257 0.757 0.000
H 0.757 0.743 0.000
H 0.743 0.243 0.000
H 0.243 0.257 0.000


No. 12
! Ba2SrH (PBE-GGA, optimized geometry); values from VASP
! volume: 49.6 Å³/atom
! relative energy among the computed polymorphs: 0.642 eV per atom
&SYSTEM
  ibrav = 0, nat = 4, ntyp = 3
/
ATOMIC_SPECIES
Sr 87.62 Sr.upf
Ba 137.33 Ba.upf
H 1.01 H.upf
CELL_PARAMETERS angstrom
-6.325 -0.203 1.682
-4.406 3.443 -3.407
-4.311 -3.089 -3.839
ATOMIC_POSITIONS crystal
Sr 0.500 0.500 0.500
Ba 0.250 0.250 0.250
Ba 0.750 0.750 0.750
H 0.000 0.000 0.000


No. 13
! Ba2SrH (PBE-GGA, optimized geometry); values from VASP
! volume: 42.2 Å³/atom
! relative energy among the computed polymorphs: 0.000 eV per atom
&SYSTEM
  ibrav = 0, nat = 4, ntyp = 3
/
ATOMIC_SPECIES
Sr 87.62 Sr.upf
Ba 137.33 Ba.upf
H 1.01 H.upf
CELL_PARAMETERS angstrom
4.290 0.000 0.000
2.145 3.715 0.000
2.145 1.238 10.582
ATOMIC_POSITIONS crystal
Sr 0.500 0.500 0.500
Ba 0.282 0.282 0.155
Ba 0.718 0.718 0.845
H 0.000 0.000 0.000


No. 14
! Ba2SrH (PBE-GGA, optimized geometry); values from VASP
! volume: 42.2 Å³/atom
! relative energy among the computed polymorphs: 0.008 eV per atom
&SYSTEM
  ibrav = 0, nat = 4, ntyp = 3
/
ATOMIC_SPECIES
Ba 137.33 Ba.upf
Sr 87.62 Sr.upf
H 1.01 H.upf
CELL_PARAMETERS angstrom
-3.675 -1.866 1.156
-1.510 -3.321 -2.239
3.646 -8.424 5.937
ATOMIC_POSITIONS crystal
Ba 0.051 0.051 0.847
Ba 0.283 0.283 0.152
Sr 0.499 0.499 0.502
H 0.667 0.667 0.000


No. 15
! BaSrH2 (PBE-GGA, optimized geometry); values from VASP
! volume: 27.4 Å³/atom
! relative energy among the computed polymorphs: 0.095 eV per atom
&SYSTEM
  ibrav = 0, nat = 8, ntyp = 3
/
ATOMIC_SPECIES
Sr 87.62 Sr.upf
Ba 137.33 Ba.upf
H 1.01 H.upf
CELL_PARAMETERS angstrom
-4.321 -0.068 -4.201
-0.289 -6.007 0.394
-6.509 -2.552 2.412
ATOMIC_POSITIONS crystal
Sr 0.500 0.500 0.000
Sr 0.250 0.750 0.500
Ba 0.000 0.000 0.000
Ba 0.750 0.250 0.500
H 0.601 0.125 0.250
H 0.149 0.625 0.250
H 0.375 0.399 0.750
H 0.875 0.851 0.750


No. 16
! Ba2SrH2 (PBE-GGA, optimized geometry); values from VASP
! volume: 37.9 Å³/atom
! relative energy among the computed polymorphs: 0.000 eV per atom
&SYSTEM
  ibrav = 0, nat = 5, ntyp = 3
/
ATOMIC_SPECIES
Sr 87.62 Sr.upf
Ba 137.33 Ba.upf
H 1.01 H.upf
CELL_PARAMETERS angstrom
4.394 0.000 0.000
0.000 4.394 0.000
2.197 2.197 9.821
ATOMIC_POSITIONS crystal
Sr 0.000 0.000 0.000
Ba 0.323 0.323 0.353
Ba 0.677 0.677 0.647
H 0.750 0.250 0.500
H 0.250 0.750 0.500


No. 17
! BaSrH2 (PBE-GGA, optimized geometry); values from VASP
! volume: 28.9 Å³/atom
! relative energy among the computed polymorphs: 0.000 eV per atom
&SYSTEM
  ibrav = 0, nat = 4, ntyp = 3
/
ATOMIC_SPECIES
Ba 137.33 Ba.upf
Sr 87.62 Sr.upf
H 1.01 H.upf
CELL_PARAMETERS angstrom
-4.063 -1.498 0.875
-0.771 -4.348 0.131
-0.150 -2.007 7.023
ATOMIC_POSITIONS crystal
Ba 0.500 0.500 0.500
Sr 0.000 0.000 0.000
H 0.120 0.120 0.640
H 0.880 0.880 0.360


No. 18
! Ba2Sr3H8 (PBE-GGA, optimized geometry); values from VASP
! volume: 19.0 Å³/atom
! E_tot: -41.035 eV for the cell shown
&SYSTEM
  ibrav = 0, nat = 13, ntyp = 3
/
ATOMIC_SPECIES
Ba 137.33 Ba.upf
Sr 87.62 Sr.upf
H 1.01 H.upf
CELL_PARAMETERS angstrom
4.273 0.000 0.000
0.000 7.309 2.810
0.000 -0.205 7.829
ATOMIC_POSITIONS crystal
Ba 0.500 0.730 0.730
Ba 0.500 0.270 0.270
Sr 0.500 0.000 0.000
Sr 0.000 0.705 0.295
Sr 0.000 0.295 0.705
H 0.000 0.380 0.380
H 0.000 0.620 0.620
H 0.000 0.896 0.895
H 0.000 0.104 0.105
H 0.500 0.340 0.882
H 0.500 0.882 0.340
H 0.500 0.118 0.660
H 0.500 0.660 0.118


No. 19
! BaSrH2 (PBE-GGA, optimized geometry); values from VASP
! volume: 22.2 Å³/atom
! relative energy among the computed polymorphs: 0.451 eV per atom
&SYSTEM
  ibrav = 0, nat = 4, ntyp = 3
/
ATOMIC_SPECIES
Sr 87.62 Sr.upf
Ba 137.33 Ba.upf
H 1.01 H.upf
CELL_PARAMETERS angstrom
-0.968 -4.727 -1.327
-4.325 -1.132 -2.248
-0.045 -1.282 -4.837
ATOMIC_POSITIONS crystal
Sr 0.000 0.000 0.000
Ba 0.500 0.500 0.500
H 0.250 0.250 0.250
H 0.750 0.750 0.750